1.
{"formula": "GePNF2", "functional": "PBE-GGA", "state": "relaxed", "space_group": "P4/mmm (123)", "de_polymorph_mev_per_atom": 0.0, "formation_energy_uncorrected_mev_per_atom": -324.7, "total_energy_ev_per_atom": -4.74, "lattice_angstrom": [[4.493, 0.000, 0.000], [0.000, 4.493, 0.000], [0.000, 0.000, 3.331]], "species": ["F", "F", "N", "P", "Ge"], "frac_coords": [[0.500, 0.000, 0.000], [0.000, 0.500, 0.000], [0.000, 0.000, 0.500], [0.000, 0.000, 0.000], [0.500, 0.500, 0.500]]}

***

2.
{"formula": "GePdNF2", "functional": "PBE-GGA", "state": "relaxed", "space_group": "P4/mmm (123)", "de_polymorph_mev_per_atom": 261.2, "formation_energy_uncorrected_mev_per_atom": -52.7, "total_energy_ev_per_atom": -4.43, "lattice_angstrom": [[4.465, 0.000, 0.000], [0.000, 4.465, 0.000], [0.000, 0.000, 3.739]], "species": ["F", "F", "Ge", "Pd", "N"], "frac_coords": [[0.500, 0.000, 0.000], [0.000, 0.500, 0.000], [0.500, 0.500, 0.500], [0.000, 0.000, 0.000], [0.000, 0.000, 0.500]]}

***

3.
{"formula": "GePdNF2", "functional": "PBE-GGA", "state": "relaxed", "space_group": "P4/mmm (123)", "de_polymorph_mev_per_atom": 0.0, "formation_energy_uncorrected_mev_per_atom": -313.9, "total_energy_ev_per_atom": -4.69, "lattice_angstrom": [[4.022, 0.000, 0.000], [0.000, 4.022, 0.000], [0.000, 0.000, 3.681]], "species": ["Pd", "F", "F", "Ge", "N"], "frac_coords": [[0.500, 0.500, 0.500], [0.500, 0.000, 0.000], [0.000, 0.500, 0.000], [0.000, 0.000, 0.000], [0.000, 0.000, 0.500]]}

***

4.
{"formula": "GePtN2F", "functional": "PBE-GGA", "state": "relaxed", "space_group": "P4/mmm (123)", "de_polymorph_mev_per_atom": 0.0, "formation_energy_uncorrected_mev_per_atom": 744.1, "total_energy_ev_per_atom": -5.09, "lattice_angstrom": [[3.763, 0.000, 0.000], [0.000, 3.763, 0.000], [0.000, 0.000, 5.472]], "species": ["Ge", "N", "N", "F", "Pt"], "frac_coords": [[0.500, 0.500, 0.500], [0.500, 0.000, 0.000], [0.000, 0.500, 0.000], [0.000, 0.000, 0.500], [0.000, 0.000, 0.000]]}

***

5.
{"formula": "GePtN2F", "functional": "PBE-GGA", "state": "relaxed", "space_group": "P4/mmm (123)", "de_polymorph_mev_per_atom": 3.5, "formation_energy_uncorrected_mev_per_atom": 747.6, "total_energy_ev_per_atom": -5.09, "lattice_angstrom": [[3.884, 0.000, 0.000], [0.000, 3.884, 0.000], [0.000, 0.000, 3.669]], "species": ["N", "N", "Ge", "F", "Pt"], "frac_coords": [[0.000, 0.500, 0.000], [0.500, 0.000, 0.000], [0.000, 0.000, 0.000], [0.000, 0.000, 0.500], [0.500, 0.500, 0.500]]}

***

6.
{"formula": "Rb2GeNF6", "functional": "PBE-GGA", "state": "relaxed", "space_group": "Fm-3m (225)", "formation_energy_uncorrected_mev_per_atom": -1943.0, "total_energy_ev_per_atom": -4.55, "lattice_angstrom": [[-2.835, 2.818, 4.972], [1.727, -4.868, 3.743], [3.303, 1.105, 5.349]], "species": ["F", "F", "F", "F", "F", "F", "N", "Ge", "Rb", "Rb"], "frac_coords": [[0.203, 0.203, 0.000], [0.797, 0.203, 0.000], [0.203, 0.203, 0.594], [0.203, 0.797, 0.000], [0.797, 0.797, 0.000], [0.797, 0.797, 0.406], [0.500, 0.500, 0.000], [0.000, 0.000, 0.000], [0.750, 0.250, 0.500], [0.250, 0.750, 0.500]]}

***

7.
{"formula": "ReGeNF2", "functional": "PBE-GGA", "state": "relaxed", "space_group": "P4/mmm (123)", "de_polymorph_mev_per_atom": 0.0, "formation_energy_uncorrected_mev_per_atom": -269.8, "total_energy_ev_per_atom": -6.10, "lattice_angstrom": [[-0.856, -3.500, -2.299], [3.394, 0.794, -2.473], [2.194, -2.076, 2.344]], "species": ["F", "F", "N", "Re", "Ge"], "frac_coords": [[0.500, 0.000, 0.000], [0.000, 0.500, 0.000], [0.000, 0.000, 0.500], [0.000, 0.000, 0.000], [0.500, 0.500, 0.500]]}

***

8.
{"formula": "ReGeN2F", "functional": "PBE-GGA", "state": "relaxed", "space_group": "P4/mmm (123)", "de_polymorph_mev_per_atom": 0.0, "formation_energy_uncorrected_mev_per_atom": 116.0, "total_energy_ev_per_atom": -7.00, "lattice_angstrom": [[3.914, 0.000, 0.000], [0.000, 3.914, 0.000], [0.000, 0.000, 4.193]], "species": ["Ge", "N", "N", "F", "Re"], "frac_coords": [[0.500, 0.500, 0.500], [0.000, 0.500, 0.000], [0.500, 0.000, 0.000], [0.000, 0.000, 0.500], [0.000, 0.000, 0.000]]}